! KCd2Se | Alexandria | PBE | optimized geometry; values from VASP
&SYSTEM
  ibrav = 0, nat = 4, ntyp = 3
/
ATOMIC_SPECIES
K 39.10 K.upf
Cd 112.41 Cd.upf
Se 78.96 Se.upf
ATOMIC_POSITIONS angstrom
K 0.000 0.000 0.000
Cd 0.000 0.000 3.701
Cd 2.026 0.000 9.671
Se 2.026 0.000 5.519
CELL_PARAMETERS angstrom
4.052 0.000 0.000
0.000 2.164 6.909
0.000 -2.164 6.909
! Fermi-level density of states ... 1.55 states/eV per cell
! Total DFT energy (no corrections) ... -8.07 eV for the cell shown